Below is ScNbInHg2 after structural relaxation, with properties calculated at the PBE level.

The structure belongs to space group P4/mmm (No. 123); the cell edges are 5.428, 5.428 and 4.841 Å and the angles 90.00°, 90.00° and 90.00°. The asymmetric unit holds Sc at (0.000, 0.000, 0.000), Nb at (0.000, 0.000, 0.500), In at (0.500, 0.500, 0.500) and Hg at (0.000, 0.500, 0.000).

Its total magnetization is 0.35 Bohr magnetons per cell. The calculation puts the calculated formation energy at 0.884 eV/atom. As for the density of states at the Fermi level: 4.73 states/eV/f.u.

***

Below is HoThHg4 after structural relaxation, with properties calculated at the PBE level.

The structure belongs to space group F-43m (No. 216); the cell edges are 8.457, 8.457 and 8.457 Å and the angles 90.00°, 90.00° and 90.00°. The asymmetric unit holds Ho at (0.000, 0.000, 0.000), Th at (0.250, 0.250, 0.750) and Hg at (0.125, 0.125, 0.375).

Its total magnetization is 3.34 Bohr magnetons per cell. The calculation puts the calculated formation energy at -0.123 eV/atom. As for the density of states at the Fermi level: 5.24 states/eV/f.u.

***

Below is Fe8CoNi6 after structural relaxation, with properties calculated at the PBE level.

The structure belongs to space group R-3 (No. 148, hexagonal axes); the cell edges are 6.3602, 6.3602 and 15.5584 Å and the angles 90.00°, 90.00° and 120.00°. The asymmetric unit holds Fe at (0.0000, 0.0000, 0.2451), Fe at (0.0031, 0.7492, 0.6248), Co at (0.0000, 0.0000, 0.5000) and Ni at (0.0007, 0.2532, 0.8770).

Its total magnetization is 80.89 Bohr magnetons per cell. The calculation puts the calculated formation energy at 0.162 eV/atom. As for the density of states at the Fermi level: 11.91 states/eV/f.u.

***

Below is CaCr3 after structural relaxation, with properties calculated at the PBE level.

The structure belongs to space group P-6m2 (No. 187); the cell edges are 3.0758, 3.0758 and 8.5379 Å and the angles 90.00°, 90.00° and 120.00°. The asymmetric unit holds Ca at (0.0000, 0.0000, 0.0000), Cr at (0.0000, 0.0000, 0.5000) and Cr at (0.6667, 0.3333, 0.3048).

Its total magnetization is 2.86 Bohr magnetons per cell. The calculation puts the calculated formation energy at 0.805 eV/atom. As for the density of states at the Fermi level: 3.83 states/eV/f.u.